Arrangement 1

# NiBiPO2 | Alexandria | PBE+U | relaxed
# calculated density	7.770	g/cm³
data_NiBiPO2
_chemical_formula_sum 'Ni1 Bi1 P1 O2'
_space_group_name_H-M_alt 'P 4/m m m'
_space_group_IT_number 123
_space_group_name_Hall '-P 4 2'
_cell_length_a 3.9553
_cell_length_b 3.9553
_cell_length_c 4.5167
_cell_angle_alpha 90.00
_cell_angle_beta 90.00
_cell_angle_gamma 90.00
loop_
_atom_site_label
_atom_site_fract_x
_atom_site_fract_y
_atom_site_fract_z
_atom_site_occupancy
Ni1 0.0000 0.0000 0.0000 1
Bi1 0.5000 0.5000 0.5000 1
P1 0.0000 0.0000 0.5000 1
O1 0.0000 0.5000 0.0000 1

---

Arrangement 2

# NiBiPO2 | Alexandria | PBE+U | relaxed
# calculated density	5.875	g/cm³
data_NiBiPO2
_chemical_formula_sum 'Ni1 Bi1 P1 O2'
_space_group_name_H-M_alt 'P 4/m m m'
_space_group_IT_number 123
_space_group_name_Hall '-P 4 2'
_cell_length_a 4.0990
_cell_length_b 4.0990
_cell_length_c 5.5621
_cell_angle_alpha 90.00
_cell_angle_beta 90.00
_cell_angle_gamma 90.00
loop_
_atom_site_label
_atom_site_fract_x
_atom_site_fract_y
_atom_site_fract_z
_atom_site_occupancy
Ni1 0.0000 0.0000 0.0000 1
Bi1 0.5000 0.5000 0.5000 1
P1 0.5000 0.5000 0.0000 1
O1 0.0000 0.5000 0.5000 1

---

Relative energies, eV/atom: arrangement 1 0.000; arrangement 2 0.351.